1.
Here is PrBiSb2 after structural relaxation from Alexandria via LeMat-Bulk. Energies are from PBE.

```
4
Lattice="-1.404 -4.021 0.267 0.546 0.157 5.236 -4.944 1.757 0.463" Properties=species:S:1:pos:R:3 pbc="T T T"
Sb 0.273 0.079 2.618
Bi -0.702 -2.010 0.134
Pr -2.901 -1.053 2.983
Sb -2.472 0.878 0.232
```

Spin magnetization   0.000 μB per cell
Symmetry   P4/mmm
Volume   29.59 Å³ per atom
Formation energy from raw total energies   -0.502 eV/atom
ΔE to the lowest computed polymorph   0.000 eV per formula unit
Uncorrected energy   -4.728 eV per atom

2.
Here is PmPrSm6 after structural relaxation from Alexandria via LeMat-Bulk. Energies are from PBE.

```
8
Lattice="5.146 0.000 0.000 0.000 5.146 0.000 0.000 0.000 10.294" Properties=species:S:1:pos:R:3 pbc="T T T"
Sm 2.573 2.573 5.147
Sm 2.573 0.000 2.585
Sm 2.573 2.573 0.000
Sm 2.573 0.000 7.709
Sm 0.000 2.573 2.585
Sm 0.000 2.573 7.709
Pm 0.000 0.000 5.147
Pr 0.000 0.000 0.000
```

Spin magnetization   0.000 μB per cell
Formation enthalpy at 0 K   13 kJ/mol of formula units
Symmetry   P4/mmm
Volume   34.08 Å³ per atom
ΔE to the lowest computed polymorph   0.000 eV per formula unit
Uncorrected energy   -4.714 eV per atom

3.
Here is SmHRh2 after structural relaxation from Alexandria via LeMat-Bulk. Energies are from PBE.

```
4
Lattice="3.001 0.000 0.000 1.501 2.599 0.000 1.501 0.866 7.506" Properties=species:S:1:pos:R:3 pbc="T T T"
H 3.001 1.733 3.753
Sm 0.000 0.000 0.000
Rh 4.502 2.599 2.612
Rh 1.501 0.866 4.894
```

Spin magnetization   0.000 μB per cell
Symmetry   R-3m
Volume   14.64 Å³ per atom
Uncorrected energy   -5.398 eV per atom

4.
Here is Nd2SmGa after structural relaxation from Alexandria via LeMat-Bulk. Energies are from PBE.

```
4
Lattice="-4.339 1.260 -1.780 -1.966 -0.580 4.381 0.924 4.635 1.029" Properties=species:S:1:pos:R:3 pbc="T T T"
Nd 0.462 2.317 0.514
Ga -2.170 0.630 -0.890
Sm -2.691 2.657 1.814
Nd -0.983 -0.290 2.190
```

Spin magnetization   0.001 μB per cell
Formation enthalpy at 0 K   -90 kJ/mol of formula units
Symmetry   P4/mmm
Volume   28.40 Å³ per atom
ΔE to the lowest computed polymorph   0.041 eV per formula unit
Uncorrected energy   -4.553 eV per atom

5.
Here is Nb2ZnO after structural relaxation from Alexandria via LeMat-Bulk. Energies are from PBE.

```
8
Lattice="-0.414 -3.083 -3.939 -2.380 -3.356 2.876 -6.459 -0.798 -1.896" Properties=species:S:1:pos:R:3 pbc="T T T"
Nb -2.126 -2.213 -2.152
O -1.397 -3.219 -0.532
Nb -7.032 -5.870 -2.662
Nb -6.149 -3.375 -1.510
Zn -4.135 -3.550 -3.183
O -5.118 -3.686 0.224
Zn 0.000 0.000 0.000
Nb -3.199 -3.015 0.406
```

Spin magnetization   0.000 μB per cell
Symmetry   I-42d
Volume   18.19 Å³ per atom
Formation energy from raw total energies   -0.250 eV/atom
ΔE to the lowest computed polymorph   0.042 eV per formula unit
Uncorrected energy   -6.843 eV per atom

6.
Here is TiFe2ReMo after structural relaxation from Alexandria via LeMat-Bulk. Energies are from PBE.

```
5
Lattice="-1.420 -4.078 0.645 -0.187 -0.677 -4.690 4.125 -1.430 0.041" Properties=species:S:1:pos:R:3 pbc="T T T"
Fe -0.710 -2.039 0.323
Fe 2.062 -0.715 0.021
Ti 1.259 -3.092 -2.002
Re -0.094 -0.338 -2.345
Mo 0.000 0.000 0.000
```

Spin magnetization   2.055 μB per cell
Formation enthalpy at 0 K   689 kJ/mol of formula units
Symmetry   P4/mmm
Volume   18.08 Å³ per atom
Uncorrected energy   -8.192 eV per atom

7.
Here is TlAgBi2S4 after structural relaxation from Alexandria via LeMat-Bulk. Energies are from PBE.

```
16
Lattice="4.143 0.000 0.000 -2.072 6.772 0.000 0.000 0.000 14.894" Properties=species:S:1:pos:R:3 pbc="T T T"
Ag 2.072 4.561 11.171
S 2.072 3.136 13.360
S 0.000 0.000 0.000
Bi 0.000 4.969 8.367
Bi 0.000 4.969 13.975
S 0.000 3.636 5.913
Ag 0.000 2.211 3.724
Tl 0.000 1.504 11.171
Bi 2.072 1.803 6.527
Tl 2.072 5.268 3.724
S 2.072 0.800 3.724
S 2.072 3.136 8.981
S 0.000 3.636 1.534
S 0.000 5.972 11.171
S 0.000 0.000 7.447
Bi 2.072 1.803 0.920
```

Spin magnetization   0.000 μB per cell
Symmetry   Cmcm
Volume   26.12 Å³ per atom
Formation energy from raw total energies   -0.291 eV/atom
Uncorrected energy   -3.977 eV per atom

8.
Here is BiRhO3 after structural relaxation from Alexandria via LeMat-Bulk. Energies are from PBE.

```
5
Lattice="-0.024 -1.321 3.985 -0.041 -3.985 -1.322 4.198 -0.046 0.010" Properties=species:S:1:pos:R:3 pbc="T T T"
Rh 2.067 -2.676 1.337
Bi 0.000 0.000 0.000
O -0.020 -1.992 -0.661
O -0.012 -0.661 1.992
O 2.099 -0.023 0.005
```

Spin magnetization   2.456 μB per cell
Symmetry   Pm-3m
Volume   14.80 Å³ per atom
Formation energy from raw total energies   0.137 eV/atom
Uncorrected energy   -5.085 eV per atom